# 1
# GGA-PBEsol Li3Co2Ni2O8, relaxed
# Total moment in μB per cell: 1.02
# Fermi-level density of states in states/eV/cell: 4.50
# SG: C2/m, No. 12
# VASP energy in hartree per atom: -0.2340
# Formation energy without anion corrections in meV per atom: -1322
data_Li3Co2Ni2O8
_cell_length_a 5.606
_cell_length_b 5.618
_cell_length_c 5.623
_cell_angle_alpha 60.73
_cell_angle_beta 60.57
_cell_angle_gamma 60.63
_symmetry_space_group_name_H-M 'P 1'
_symmetry_Int_Tables_number 1
_symmetry_space_group_name_Hall 'P 1'
loop_
_atom_site_label
_atom_site_type_symbol
_atom_site_fract_x
_atom_site_fract_y
_atom_site_fract_z
Ni1 Ni 0.000 0.000 0.500
Ni2 Ni 0.000 0.500 0.000
O1 O 0.789 0.234 0.234
O2 O 0.238 0.231 0.789
O3 O 0.762 0.769 0.211
O4 O 0.238 0.789 0.230
O5 O 0.211 0.766 0.766
O6 O 0.752 0.763 0.761
O7 O 0.762 0.211 0.770
O8 O 0.248 0.237 0.239
Li1 Li 0.500 0.500 0.000
Li2 Li 0.000 0.500 0.500
Li3 Li 0.500 0.000 0.500
Co1 Co 0.000 0.000 0.000
Co2 Co 0.500 0.000 0.000



# 2
# GGA-PBEsol Li4Co3NiO8, relaxed
# Total moment in μB per cell: 1.97
# Fermi-level density of states in states/eV/cell: 6.96
# SG: R-3m, No. 166
# VASP energy in hartree per atom: -0.2358
# Formation energy without anion corrections in meV per atom: -1464
data_Li4Co3NiO8
_cell_length_a 5.649
_cell_length_b 5.648
_cell_length_c 9.776
_cell_angle_alpha 73.21
_cell_angle_beta 73.21
_cell_angle_gamma 60.00
_symmetry_space_group_name_H-M 'P 1'
_symmetry_Int_Tables_number 1
_symmetry_space_group_name_Hall 'P 1'
loop_
_atom_site_label
_atom_site_type_symbol
_atom_site_fract_x
_atom_site_fract_y
_atom_site_fract_z
Co1 Co 0.000 0.000 0.500
Co2 Co 0.500 0.000 0.000
Co3 Co 0.000 0.500 0.500
Co4 Co 0.500 0.000 0.500
Co5 Co 0.500 0.500 0.000
Co6 Co 0.000 0.500 0.000
Li1 Li 0.750 0.750 0.750
Li2 Li 0.250 0.750 0.250
Li3 Li 0.250 0.250 0.250
Li4 Li 0.750 0.250 0.750
Li5 Li 0.250 0.250 0.750
Li6 Li 0.750 0.250 0.250
Li7 Li 0.750 0.750 0.250
Li8 Li 0.250 0.750 0.750
Ni1 Ni 0.500 0.500 0.500
Ni2 Ni 0.000 0.000 0.000
O1 O 0.869 0.869 0.392
O2 O 0.369 0.369 0.892
O3 O 0.134 0.623 0.110
O4 O 0.622 0.134 0.110
O5 O 0.631 0.631 0.108
O6 O 0.131 0.131 0.608
O7 O 0.634 0.634 0.610
O8 O 0.134 0.134 0.110
O9 O 0.366 0.366 0.390
O10 O 0.866 0.866 0.890
O11 O 0.634 0.123 0.610
O12 O 0.378 0.866 0.890
O13 O 0.866 0.377 0.890
O14 O 0.366 0.877 0.390
O15 O 0.878 0.366 0.390
O16 O 0.122 0.634 0.610



# 3
# GGA-PBEsol Li2CoNi3O8, relaxed
# Total moment in μB per cell: 3.73
# Fermi-level density of states in states/eV/cell: 23.26
# E above lowest polymorph in eV per atom: 0.001
# SG: P4_332, No. 212
# VASP energy in hartree per atom: -0.2337
# Formation energy without anion corrections in meV per atom: -1206
data_Li2CoNi3O8
_cell_length_a 7.977
_cell_length_b 7.979
_cell_length_c 7.982
_cell_angle_alpha 90.00
_cell_angle_beta 89.99
_cell_angle_gamma 89.98
_symmetry_space_group_name_H-M 'P 1'
_symmetry_Int_Tables_number 1
_symmetry_space_group_name_Hall 'P 1'
loop_
_atom_site_label
_atom_site_type_symbol
_atom_site_fract_x
_atom_site_fract_y
_atom_site_fract_z
Ni1 Ni 0.125 0.126 0.624
Ni2 Ni 0.875 0.626 0.876
Ni3 Ni 0.874 0.876 0.625
Ni4 Ni 0.374 0.624 0.375
Ni5 Ni 0.124 0.875 0.374
Ni6 Ni 0.626 0.124 0.125
Ni7 Ni 0.625 0.374 0.376
Ni8 Ni 0.126 0.376 0.875
Ni9 Ni 0.375 0.874 0.124
Ni10 Ni 0.876 0.375 0.126
Ni11 Ni 0.376 0.125 0.874
Ni12 Ni 0.624 0.625 0.626
Li1 Li 0.000 0.500 0.500
Li2 Li 0.000 0.000 0.000
Li3 Li 0.250 0.750 0.750
Li4 Li 0.750 0.250 0.750
Li5 Li 0.500 0.000 0.500
Li6 Li 0.250 0.250 0.250
Li7 Li 0.500 0.500 0.000
Li8 Li 0.750 0.750 0.250
Co1 Co 0.375 0.375 0.625
Co2 Co 0.625 0.875 0.875
Co3 Co 0.875 0.125 0.375
Co4 Co 0.125 0.625 0.125
O1 O 0.391 0.887 0.888
O2 O 0.359 0.638 0.137
O3 O 0.388 0.609 0.613
O4 O 0.612 0.109 0.887
O5 O 0.362 0.363 0.859
O6 O 0.110 0.890 0.610
O7 O 0.887 0.112 0.609
O8 O 0.637 0.641 0.862
O9 O 0.890 0.390 0.890
O10 O 0.141 0.362 0.637
O11 O 0.360 0.860 0.360
O12 O 0.113 0.612 0.891
O13 O 0.138 0.637 0.359
O14 O 0.641 0.138 0.363
O15 O 0.888 0.891 0.387
O16 O 0.109 0.113 0.388
O17 O 0.137 0.859 0.138
O18 O 0.640 0.360 0.140
O19 O 0.363 0.141 0.638
O20 O 0.390 0.110 0.110
O21 O 0.613 0.888 0.109
O22 O 0.140 0.140 0.860
O23 O 0.862 0.137 0.141
O24 O 0.638 0.863 0.641
O25 O 0.609 0.387 0.612
O26 O 0.860 0.640 0.640
O27 O 0.891 0.613 0.112
O28 O 0.387 0.388 0.391
O29 O 0.859 0.862 0.863
O30 O 0.863 0.359 0.362
O31 O 0.112 0.391 0.113
O32 O 0.610 0.610 0.390



# 4
# GGA-PBEsol Li10CoNi9O20, relaxed
# Total moment in μB per cell: 9.02
# Fermi-level density of states in states/eV/cell: 6.84
# SG: P1, No. 1
# VASP energy in hartree per atom: -0.2211
# Formation energy without anion corrections in meV per atom: -1322
data_Li10CoNi9O20
_cell_length_a 2.895
_cell_length_b 10.891
_cell_length_c 11.470
_cell_angle_alpha 113.16
_cell_angle_beta 90.46
_cell_angle_gamma 97.54
_symmetry_space_group_name_H-M 'P 1'
_symmetry_Int_Tables_number 1
_symmetry_space_group_name_Hall 'P 1'
loop_
_atom_site_label
_atom_site_type_symbol
_atom_site_fract_x
_atom_site_fract_y
_atom_site_fract_z
O1 O 0.271 0.591 0.479
O2 O 0.379 0.610 0.721
O3 O 0.343 0.610 0.220
O4 O 0.553 0.010 0.622
O5 O 0.130 0.193 0.588
O6 O 0.246 0.592 0.981
O7 O 0.467 0.010 0.121
O8 O 0.723 0.408 0.521
O9 O 0.144 0.208 0.813
O10 O 0.971 0.791 0.680
O11 O 0.439 0.992 0.381
O12 O 0.531 0.992 0.879
O13 O 0.661 0.409 0.020
O14 O 0.851 0.808 0.420
O15 O 0.930 0.791 0.179
O16 O 0.619 0.390 0.279
O17 O 0.099 0.192 0.078
O18 O 0.744 0.390 0.778
O19 O 0.893 0.809 0.922
O20 O 0.026 0.208 0.321
Ni1 Ni 0.431 0.800 0.800
Ni2 Ni 0.998 0.000 0.502
Ni3 Ni 0.824 0.600 0.600
Ni4 Ni 0.173 0.399 0.400
Ni5 Ni 0.998 0.000 0.000
Ni6 Ni 0.205 0.400 0.898
Ni7 Ni 0.565 0.200 0.200
Ni8 Ni 0.390 0.801 0.300
Ni9 Ni 0.793 0.600 0.100
Li1 Li 0.819 0.599 0.849
Li2 Li 0.567 0.199 0.449
Li3 Li 0.030 0.999 0.751
Li4 Li 0.224 0.401 0.650
Li5 Li 0.783 0.601 0.352
Li6 Li 0.412 0.801 0.550
Li7 Li 0.594 0.200 0.951
Li8 Li 0.397 0.800 0.049
Li9 Li 0.177 0.401 0.148
Li10 Li 0.975 0.000 0.250
Co1 Co 0.630 0.200 0.700



# 5
# GGA-PBEsol Li2CoNiP2O8, relaxed
# Total moment in μB per cell: 10.00
# Fermi-level density of states in states/eV/cell: 14.91
# SG: P2_1/m, No. 11
# VASP energy in hartree per atom: -0.2553
# Formation energy without anion corrections in meV per atom: -1846
data_Li2CoNiP2O8
_cell_length_a 4.665
_cell_length_b 5.836
_cell_length_c 10.017
_cell_angle_alpha 90.00
_cell_angle_beta 89.69
_cell_angle_gamma 90.00
_symmetry_space_group_name_H-M 'P 1'
_symmetry_Int_Tables_number 1
_symmetry_space_group_name_Hall 'P 1'
loop_
_atom_site_label
_atom_site_type_symbol
_atom_site_fract_x
_atom_site_fract_y
_atom_site_fract_z
Li1 Li 0.500 0.500 0.000
Li2 Li 0.000 0.000 0.500
Li3 Li 0.000 0.500 0.500
Li4 Li 0.500 0.000 0.000
O1 O 0.280 0.041 0.667
O2 O 0.250 0.750 0.405
O3 O 0.213 0.460 0.170
O4 O 0.720 0.959 0.333
O5 O 0.797 0.750 0.046
O6 O 0.280 0.459 0.667
O7 O 0.203 0.250 0.954
O8 O 0.720 0.541 0.333
O9 O 0.750 0.250 0.595
O10 O 0.787 0.540 0.830
O11 O 0.213 0.040 0.170
O12 O 0.254 0.750 0.902
O13 O 0.746 0.250 0.098
O14 O 0.297 0.250 0.450
O15 O 0.703 0.750 0.550
O16 O 0.787 0.960 0.830
Co1 Co 0.018 0.750 0.224
Co2 Co 0.982 0.250 0.776
P1 P 0.578 0.750 0.407
P2 P 0.422 0.250 0.593
P3 P 0.925 0.750 0.903
P4 P 0.075 0.250 0.097
Ni1 Ni 0.487 0.750 0.724
Ni2 Ni 0.513 0.250 0.276



# 6
# GGA-PBEsol Li4Co3Ni3Sb2O16, relaxed
# Total moment in μB per cell: 3.02
# Fermi-level density of states in states/eV/cell: 4.30
# SG: Cm, No. 8
# VASP energy in hartree per atom: -0.2372
# Formation energy without anion corrections in meV per atom: -1359
data_Li4Co3Ni3Sb2O16
_cell_length_a 5.682
_cell_length_b 5.746
_cell_length_c 9.372
_cell_angle_alpha 91.29
_cell_angle_beta 90.00
_cell_angle_gamma 119.63
_symmetry_space_group_name_H-M 'P 1'
_symmetry_Int_Tables_number 1
_symmetry_space_group_name_Hall 'P 1'
loop_
_atom_site_label
_atom_site_type_symbol
_atom_site_fract_x
_atom_site_fract_y
_atom_site_fract_z
O1 O 0.996 0.992 0.697
O2 O 0.839 0.158 0.902
O3 O 0.154 0.308 0.406
O4 O 0.841 0.683 0.898
O5 O 0.672 0.343 0.381
O6 O 0.335 0.671 0.882
O7 O 0.030 0.519 0.664
O8 O 0.994 0.988 0.198
O9 O 0.527 0.502 0.159
O10 O 0.520 0.041 0.157
O11 O 0.320 0.158 0.902
O12 O 0.671 0.826 0.404
O13 O 0.975 0.502 0.159
O14 O 0.490 0.519 0.664
O15 O 0.481 0.962 0.669
O16 O 0.155 0.826 0.404
Sb1 Sb 0.670 0.341 0.010
Sb2 Sb 0.329 0.658 0.511
Li1 Li 0.000 0.001 0.009
Li2 Li 0.339 0.678 0.097
Li3 Li 0.663 0.327 0.599
Li4 Li 0.995 0.990 0.507
Ni1 Ni 0.338 0.168 0.285
Ni2 Ni 0.168 0.336 0.786
Ni3 Ni 0.830 0.168 0.285
Co1 Co 0.168 0.828 0.785
Co2 Co 0.660 0.828 0.785
Co3 Co 0.829 0.659 0.285



# 7
# GGA-PBEsol Li4Co3Ni3Te2O16, relaxed
# Total moment in μB per cell: 3.65
# Fermi-level density of states in states/eV/cell: 8.30
# SG: Cm, No. 8
# VASP energy in hartree per atom: -0.2302
# Formation energy without anion corrections in meV per atom: -1242
data_Li4Co3Ni3Te2O16
_cell_length_a 5.724
_cell_length_b 5.766
_cell_length_c 9.436
_cell_angle_alpha 91.31
_cell_angle_beta 90.00
_cell_angle_gamma 119.76
_symmetry_space_group_name_H-M 'P 1'
_symmetry_Int_Tables_number 1
_symmetry_space_group_name_Hall 'P 1'
loop_
_atom_site_label
_atom_site_type_symbol
_atom_site_fract_x
_atom_site_fract_y
_atom_site_fract_z
O1 O 0.669 0.828 0.403
O2 O 0.996 0.992 0.698
O3 O 0.158 0.317 0.409
O4 O 0.321 0.159 0.904
O5 O 0.972 0.499 0.158
O6 O 0.842 0.683 0.898
O7 O 0.032 0.527 0.661
O8 O 0.994 0.989 0.201
O9 O 0.159 0.828 0.403
O10 O 0.838 0.159 0.904
O11 O 0.483 0.966 0.672
O12 O 0.519 0.038 0.151
O13 O 0.495 0.527 0.661
O14 O 0.527 0.499 0.158
O15 O 0.336 0.672 0.882
O16 O 0.671 0.342 0.383
Ni1 Ni 0.168 0.337 0.786
Ni2 Ni 0.338 0.166 0.286
Ni3 Ni 0.828 0.166 0.286
Te1 Te 0.667 0.335 0.012
Te2 Te 0.330 0.660 0.513
Co1 Co 0.169 0.829 0.786
Co2 Co 0.660 0.829 0.786
Co3 Co 0.829 0.658 0.285
Li1 Li 0.996 0.991 0.509
Li2 Li 0.667 0.333 0.594
Li3 Li 0.000 0.000 0.012
Li4 Li 0.337 0.675 0.092



# 8
# GGA-PBEsol Li4Ti3Co3Ni2O16, relaxed
# Total moment in μB per cell: 0.93
# Fermi-level density of states in states/eV/cell: 8.44
# SG: Cm, No. 8
# VASP energy in hartree per atom: -0.2680
# Formation energy without anion corrections in meV per atom: -1851
data_Li4Ti3Co3Ni2O16
_cell_length_a 5.630
_cell_length_b 5.630
_cell_length_c 9.308
_cell_angle_alpha 91.36
_cell_angle_beta 91.36
_cell_angle_gamma 60.93
_symmetry_space_group_name_H-M 'P 1'
_symmetry_Int_Tables_number 1
_symmetry_space_group_name_Hall 'P 1'
loop_
_atom_site_label
_atom_site_type_symbol
_atom_site_fract_x
_atom_site_fract_y
_atom_site_fract_z
Li1 Li 0.975 0.975 0.994
Li2 Li 0.344 0.344 0.401
Li3 Li 0.676 0.676 0.890
Li4 Li 0.983 0.983 0.496
O1 O 0.833 0.327 0.600
O2 O 0.967 0.530 0.344
O3 O 0.163 0.660 0.105
O4 O 0.660 0.660 0.095
O5 O 0.997 0.997 0.810
O6 O 0.527 0.527 0.345
O7 O 0.327 0.833 0.600
O8 O 0.995 0.995 0.309
O9 O 0.050 0.489 0.843
O10 O 0.487 0.487 0.825
O11 O 0.832 0.832 0.611
O12 O 0.489 0.050 0.843
O13 O 0.660 0.163 0.105
O14 O 0.163 0.163 0.100
O15 O 0.530 0.967 0.344
O16 O 0.337 0.337 0.603
Ti1 Ti 0.340 0.838 0.212
Ti2 Ti 0.838 0.340 0.212
Ti3 Ti 0.169 0.169 0.711
Ni1 Ni 0.668 0.668 0.490
Ni2 Ni 0.336 0.336 0.982
Co1 Co 0.173 0.659 0.713
Co2 Co 0.659 0.173 0.713
Co3 Co 0.823 0.823 0.213